Entry 1:
Tb2PbF | the Alexandria database | PBE-GGA | relaxed; energy relative to the elements, uncorrected = -1.3743 eV/atom; space-group type = R-3m (166); D(E_F) = 11.23 states/eV/cell
1.0
4.765 0.000 0.000
-2.382 4.126 0.000
0.000 0.000 21.628
Tb Pb F
6 3 3
Cartesian
0.000 0.000 2.193
0.000 0.000 19.435
0.000 2.751 12.226
0.000 2.751 16.612
2.382 1.375 5.016
2.382 1.375 9.403
0.000 0.000 10.814
0.000 2.751 3.605
2.382 1.375 18.024
0.000 0.000 0.000
0.000 2.751 14.419
2.382 1.375 7.209

***

Entry 2:
Nd2MgZr | the Alexandria database | PBE-GGA | relaxed; E_form = 10.1 kJ/mol of atoms; space-group type = R3m (160); D(E_F) = 11.22 states/eV/cell
1.0
3.436 0.000 0.000
-1.718 2.976 0.000
0.000 0.000 34.245
Nd Mg Zr
6 3 3
Cartesian
0.000 0.000 0.000
0.000 0.000 5.989
0.000 1.984 22.830
0.000 1.984 28.819
1.718 0.992 11.415
1.718 0.992 17.404
0.000 0.000 14.402
0.000 1.984 2.987
1.718 0.992 25.817
0.000 0.000 20.120
0.000 1.984 8.705
1.718 0.992 31.535

***

Entry 3:
HfZnCrCo | the Alexandria database | PBE-GGA | relaxed; E_form = -7.4 kJ/mol of atoms; space-group type = F-43m (216); D(E_F) = 1.60 states/eV/cell
1.0
6.140 0.000 0.000
0.000 6.140 0.000
0.000 0.000 6.140
Hf Zn Cr Co
4 4 4 4
Cartesian
0.000 0.000 0.000
0.000 3.070 3.070
3.070 0.000 3.070
3.070 3.070 0.000
0.000 0.000 3.070
0.000 3.070 0.000
3.070 0.000 0.000
3.070 3.070 3.070
1.535 1.535 1.535
1.535 4.605 4.605
4.605 1.535 4.605
4.605 4.605 1.535
1.535 1.535 4.605
1.535 4.605 1.535
4.605 1.535 1.535
4.605 4.605 4.605